Here is a relaxed structure of CaTiVH2 from Alexandria via LeMat-Bulk. Energies are from PBE-GGA.

Cell and atoms, written as CIF:
```
data_CaTiVH2
_chemical_formula_sum 'Ca1 Ti1 V1 H2'
_cell_length_a 4.086
_cell_length_b 4.086
_cell_length_c 4.436
_cell_angle_alpha 90.00
_cell_angle_beta 90.00
_cell_angle_gamma 90.00
_space_group_name_H-M_alt 'P 4/m m m'
_space_group_IT_number 123
_space_group_name_Hall '-P 4 2'
loop_
_atom_site_label
_atom_site_fract_x
_atom_site_fract_y
_atom_site_fract_z
_atom_site_occupancy
Ca1 0.000 0.000 0.000 1
Ti1 0.500 0.500 0.000 1
V1 0.500 0.500 0.500 1
H1 0.000 0.500 0.500 1
```

The value obtained for the calculated total energy is -4.44 eV/atom.


Here is a relaxed structure of Ce4GaFe from Alexandria via LeMat-Bulk. Energies are from PBE-GGA.

Cell and atoms, written as CIF:
```
data_Ce4GaFe
_chemical_formula_sum 'Ce16 Ga4 Fe4'
_cell_length_a 7.909
_cell_length_b 13.058
_cell_length_c 5.635
_cell_angle_alpha 90.00
_cell_angle_beta 109.71
_cell_angle_gamma 90.00
_space_group_name_H-M_alt 'C 1 2/c 1'
_space_group_IT_number 15
loop_
_space_group_symop_operation_xyz
'x,y,z'
'-x,-y,-z'
'-x,y,-z+1/2'
'x,-y,z+1/2'
'x+1/2,y+1/2,z'
'-x+1/2,-y+1/2,-z'
'-x+1/2,y+1/2,-z+1/2'
'x+1/2,-y+1/2,z+1/2'
loop_
_atom_site_label
_atom_site_fract_x
_atom_site_fract_y
_atom_site_fract_z
_atom_site_occupancy
Ce1 0.105 0.196 0.100 1
Ce2 0.228 0.418 0.323 1
Ga1 0.000 0.384 0.750 1
Fe1 0.000 0.021 0.750 1
```

The value obtained for the formation energy is -1.1 eV per formula unit.


Here is a relaxed structure of Be3NiBr from Alexandria via LeMat-Bulk. Energies are from PBE-GGA.

Cell and atoms, written as CIF:
```
data_Be3NiBr
_chemical_formula_sum 'Be3 Ni1 Br1'
_cell_length_a 4.198
_cell_length_b 4.198
_cell_length_c 4.198
_cell_angle_alpha 90.00
_cell_angle_beta 90.00
_cell_angle_gamma 90.00
_space_group_name_H-M_alt 'P m -3 m'
_space_group_IT_number 221
_space_group_name_Hall '-P 4 2 3'
loop_
_atom_site_label
_atom_site_fract_x
_atom_site_fract_y
_atom_site_fract_z
_atom_site_occupancy
Be1 0.000 0.000 0.500 1
Ni1 0.000 0.000 0.000 1
Br1 0.500 0.500 0.500 1
```

The excess energy over the best structure of this formula in the dataset comes out at 0 meV/atom. The uncorrected formation energy comes out at 668 meV per atom.


Here is a relaxed structure of TbAsSe3 from Alexandria via LeMat-Bulk. Energies are from PBE-GGA.

Cell and atoms, written as CIF:
```
data_TbAsSe3
_chemical_formula_sum 'Tb6 As6 Se18'
_cell_length_a 7.0696
_cell_length_b 7.0696
_cell_length_c 19.9402
_cell_angle_alpha 90.00
_cell_angle_beta 90.00
_cell_angle_gamma 120.00
_space_group_name_H-M_alt 'R -3'
_space_group_IT_number 148
_space_group_name_Hall '-R 3'
loop_
_atom_site_label
_atom_site_fract_x
_atom_site_fract_y
_atom_site_fract_z
_atom_site_occupancy
Tb1 0.0000 0.0000 0.1423 1
As1 0.0000 0.0000 0.3108 1
Se1 0.0169 0.6308 0.9114 1
```

The uncorrected formation energy comes out at -906 meV per atom.


Here is a relaxed structure of H2SeI from Alexandria via LeMat-Bulk. Energies are from PBE-GGA.

Cell and atoms, written as CIF:
```
data_H2SeI
_chemical_formula_sum 'H4 Se2 I2'
_cell_length_a 6.904
_cell_length_b 5.722
_cell_length_c 4.438
_cell_angle_alpha 90.00
_cell_angle_beta 90.23
_cell_angle_gamma 90.00
_space_group_name_H-M_alt 'C 1 m 1'
_space_group_IT_number 8
loop_
_space_group_symop_operation_xyz
'x,y,z'
'x,-y,z'
'x+1/2,y+1/2,z'
'x+1/2,-y+1/2,z'
loop_
_atom_site_label
_atom_site_fract_x
_atom_site_fract_y
_atom_site_fract_z
_atom_site_occupancy
H1 0.000 0.000 0.000 1
H2 0.184 0.500 0.001 1
Se1 0.341 0.500 0.766 1
I1 0.342 0.000 0.286 1
```

The excess energy over the best structure of this formula in the dataset comes out at 110 meV/atom.


Here is a relaxed structure of Li2CrTc from Alexandria via LeMat-Bulk. Energies are from PBE-GGA.

Cell and atoms, written as CIF:
```
data_Li2CrTc
_chemical_formula_sum 'Li8 Cr4 Tc4'
_cell_length_a 5.780
_cell_length_b 5.780
_cell_length_c 5.780
_cell_angle_alpha 90.00
_cell_angle_beta 90.00
_cell_angle_gamma 90.00
_space_group_name_H-M_alt 'F m -3 m'
_space_group_IT_number 225
_space_group_name_Hall '-F 4 2 3'
loop_
_atom_site_label
_atom_site_fract_x
_atom_site_fract_y
_atom_site_fract_z
_atom_site_occupancy
Li1 0.250 0.250 0.250 1
Cr1 0.000 0.000 0.000 1
Tc1 0.000 0.000 0.500 1
```

The excess energy over the best structure of this formula in the dataset comes out at 663 meV/atom. The value obtained for the formation energy is 3.6 eV per formula unit.


Here is a relaxed structure of Na2CeHfSe4 from Alexandria via LeMat-Bulk. Energies are from PBE-GGA.

Cell and atoms, written as CIF:
```
data_Na2CeHfSe4
_chemical_formula_sum 'Na2 Ce1 Hf1 Se4'
_cell_length_a 7.023
_cell_length_b 4.023
_cell_length_c 7.458
_cell_angle_alpha 90.00
_cell_angle_beta 107.95
_cell_angle_gamma 90.00
_space_group_name_H-M_alt 'P 1 2/m 1'
_space_group_IT_number 10
loop_
_space_group_symop_operation_xyz
'x,y,z'
'-x,-y,-z'
'-x,y,-z'
'x,-y,z'
loop_
_atom_site_label
_atom_site_fract_x
_atom_site_fract_y
_atom_site_fract_z
_atom_site_occupancy
Na1 0.000 0.000 0.000 1
Na2 0.500 0.500 0.000 1
Ce1 0.000 0.500 0.500 1
Hf1 0.500 0.000 0.500 1
Se1 0.267 0.000 0.735 1
Se2 0.278 0.500 0.276 1
```

The uncorrected formation energy comes out at -1404 meV per atom.


Here is a relaxed structure of RbSeO3 from Alexandria via LeMat-Bulk. Energies are from PBE-GGA.

Cell and atoms, written as CIF:
```
data_RbSeO3
_chemical_formula_sum 'Rb1 Se1 O3'
_cell_length_a 5.149
_cell_length_b 5.149
_cell_length_c 5.149
_cell_angle_alpha 90.00
_cell_angle_beta 90.00
_cell_angle_gamma 90.00
_space_group_name_H-M_alt 'P m -3 m'
_space_group_IT_number 221
_space_group_name_Hall '-P 4 2 3'
loop_
_atom_site_label
_atom_site_fract_x
_atom_site_fract_y
_atom_site_fract_z
_atom_site_occupancy
Rb1 0.000 0.000 0.000 1
Se1 0.500 0.500 0.500 1
O1 0.000 0.000 0.500 1
```

The uncorrected formation energy comes out at 1262 meV per atom.